Entry 1:
An optimized crystal structure of UTl5Te8. Source: Alexandria via LeMat-Bulk, functional PBE.

POSCAR file:
```
UTl5Te8
1.0
-5.077 5.077 4.819
5.077 -5.077 4.819
5.077 5.077 -4.819
U Tl Te
1 5 8
direct
0.000 0.000 0.000 U
0.087 0.248 0.591 Tl
0.250 0.750 0.500 Tl
0.505 0.913 0.161 Tl
0.656 0.495 0.409 Tl
0.752 0.344 0.839 Tl
0.064 0.691 0.802 Te
0.236 0.412 0.090 Te
0.309 0.110 0.373 Te
0.322 0.146 0.910 Te
0.588 0.678 0.824 Te
0.738 0.936 0.627 Te
0.854 0.764 0.176 Te
0.890 0.262 0.198 Te
```

## Properties
For the formation energy from raw total energies, the calculation gives -4.1 eV per formula unit. For the density of states at the Fermi level, the calculation gives 6.44 states/eV/cell.

=====

Entry 2:
An optimized crystal structure of Cr3AuCl. Source: Alexandria via LeMat-Bulk, functional PBE.

POSCAR file:
```
Cr3AuCl
1.0
4.149 0.000 0.000
0.000 4.149 0.000
0.000 0.000 4.149
Cr Au Cl
3 1 1
direct
0.000 0.000 0.500 Cr
0.000 0.500 0.000 Cr
0.500 0.000 0.000 Cr
0.500 0.500 0.500 Au
0.000 0.000 0.000 Cl
```

## Properties
For the formation energy from raw total energies, the calculation gives 4.0 eV per formula unit. For the density of states at the Fermi level, the calculation gives 5.41 states/eV/cell.

=====

Entry 3:
An optimized crystal structure of BeCuAs2. Source: Alexandria via LeMat-Bulk, functional PBE.

POSCAR file:
```
BeCuAs2
1.0
2.651 -3.375 0.000
2.651 3.375 0.000
-1.808 0.000 3.520
Be Cu As
1 1 2
direct
0.000 0.000 0.000 Be
0.500 0.500 0.000 Cu
0.000 0.500 0.500 As
0.500 0.000 0.500 As
```

## Properties
As for the calculated formation energy: 0.301 eV per atom. For the density of states at the Fermi level, the calculation gives 1.17 states/eV/cell.

=====

Entry 4:
An optimized crystal structure of La2Hg3Bi3. Source: Alexandria via LeMat-Bulk, functional PBE.

POSCAR file:
```
La2Hg3Bi3
1.0
4.769 0.000 0.000
0.000 5.100 0.000
0.000 0.000 9.618
La Hg Bi
2 3 3
direct
0.000 0.000 0.248 La
0.000 0.000 0.752 La
0.000 0.500 0.000 Hg
0.500 0.500 0.235 Hg
0.500 0.500 0.765 Hg
0.000 0.500 0.500 Bi
0.500 0.000 0.000 Bi
0.500 0.000 0.500 Bi
```

## Properties
As for the calculated formation energy: -0.539 eV per atom. For the density of states at the Fermi level, the calculation gives 3.63 states/eV/cell.

=====

Entry 5:
An optimized crystal structure of Ni5PPt6. Source: Alexandria via LeMat-Bulk, functional PBE.

POSCAR file:
```
Ni5PPt6
1.0
-1.992 3.503 5.816
1.992 -3.503 5.816
1.992 3.503 -5.816
Ni P Pt
5 1 6
direct
0.000 0.000 0.000 Ni
0.154 0.654 0.500 Ni
0.308 0.308 0.000 Ni
0.692 0.692 0.000 Ni
0.846 0.346 0.500 Ni
0.500 0.000 0.500 P
0.105 0.836 0.268 Pt
0.280 0.500 0.780 Pt
0.432 0.164 0.268 Pt
0.568 0.836 0.732 Pt
0.720 0.500 0.220 Pt
0.895 0.164 0.732 Pt
```

## Properties
As for the calculated formation energy: -0.124 eV per atom. For the density of states at the Fermi level, the calculation gives 15.76 states/eV/cell.

=====

Entry 6:
An optimized crystal structure of Cs2NaHgPd. Source: Alexandria via LeMat-Bulk, functional PBE.

POSCAR file:
```
Cs2NaHgPd
1.0
6.825 0.000 0.000
0.000 6.825 0.000
0.000 0.000 5.380
Cs Na Hg Pd
2 1 1 1
direct
0.000 0.500 0.000 Cs
0.500 0.000 0.000 Cs
0.000 0.000 0.500 Na
0.500 0.500 0.500 Hg
0.500 0.500 0.000 Pd
```

## Properties
As for the calculated formation energy: -0.033 eV per atom. For the density of states at the Fermi level, the calculation gives 2.59 states/eV/cell.

=====

These records have energy values of -0.275; -0.440; -0.292; -0.245; -0.441; -0.128 Ry/atom, in the order they appear.